[1]
Computed, not measured: a crystal of Cu2AsW relaxed with PBEsol at the meta-GGA SCAN level of DFT.

Computed properties:
Fermi-level density of states	0.38	states/eV per atom
formation enthalpy at 0 K	0.3345	eV/atom
V	110.4	Å³ per cell

Cell: 5.021 8.209 2.678 Å, 90.00 90.16 90.00°
Atoms (fractional coordinates):
Cu 0.250 0.250 0.000
Cu 0.250 0.750 0.000
Cu 0.750 0.250 0.000
Cu 0.750 0.750 0.000
As 0.000 0.000 0.500
As 0.500 0.500 0.500
W 0.000 0.500 0.500
W 0.500 0.000 0.500

[2]
Computed, not measured: a crystal of CuAsW3 relaxed with PBEsol at the meta-GGA SCAN level of DFT.

Computed properties:
Fermi-level density of states	1.11	states/eV per atom
formation enthalpy at 0 K	1.9735	eV/atom
V	93.2	Å³ per cell

Cell: 4.534 4.534 4.534 Å, 90.00 90.00 90.00°
Atoms (fractional coordinates):
Cu 0.000 0.000 0.000
As 0.500 0.500 0.500
W 0.000 0.500 0.500
W 0.500 0.000 0.500
W 0.500 0.500 0.000

[3]
Computed, not measured: a crystal of YCuAs2 relaxed with PBEsol at the meta-GGA SCAN level of DFT.

Computed properties:
Fermi-level density of states	0.34	states/eV per atom
formation enthalpy at 0 K	-0.5088	eV/atom
V	145.2	Å³ per cell

Cell: 3.949 3.949 9.309 Å, 90.00 90.00 90.00°
Atoms (fractional coordinates):
Y 0.000 0.000 0.000
Y 0.500 0.500 0.500
Cu 0.000 0.500 0.750
Cu 0.500 0.000 0.250
As 0.000 0.000 0.500
As 0.000 0.500 0.250
As 0.500 0.000 0.750
As 0.500 0.500 0.000

[4]
Computed, not measured: a crystal of YCuAs2 relaxed with PBEsol at the meta-GGA SCAN level of DFT.

Computed properties:
Fermi-level density of states	0.22	states/eV per atom
formation enthalpy at 0 K	-0.9464	eV/atom
V	144.3	Å³ per cell

Cell: 3.857 3.857 9.700 Å, 90.00 90.00 90.00°
Atoms (fractional coordinates):
Y 0.250 0.250 0.238
Y 0.750 0.750 0.762
Cu 0.250 0.750 0.500
Cu 0.750 0.250 0.500
As 0.250 0.250 0.660
As 0.250 0.750 0.000
As 0.750 0.250 0.000
As 0.750 0.750 0.340

- Among the records above, which one has the lowest V?
  CuAsW3

- Which of these has the highest V?
  number 3

- What is the formula in the third record?
  YCuAs2